DFT (PBE) results for a geometry-optimized SiTc2Ir structure.

Computed properties:
Symmetry: Cm, No. 8
Theoretical density in Mg/m³: 12.19
E_form (uncorrected) in eV per atom: -0.16
Final energy in eV/atom: -8.915

abc: 4.606 4.606 4.710
angles: 98.27 98.27 35.03
Atoms (fractional coordinates):
Si1 0.000 0.000 0.000
Tc1 0.244 0.244 0.698
Tc2 0.492 0.492 0.507
Ir1 0.744 0.744 0.185